LiNi2Ru PBE optimized geometry; total magnetization = 0.5 μB/f.u.; space group = C2/m (12); formation energy from the elements = 0.1335 eV/atom; polymorph energy (0 for the lowest one) = 100.0 meV per atom
1.0
8.5353 0.0000 0.0000
0.0000 2.4900 0.0000
-0.5334 0.0000 4.4828
Li Ni Ru
2 4 2
Direct
0.0000 0.0000 0.0000
0.5000 0.5000 0.0000
0.2456 0.0000 0.7455
0.2544 0.5000 0.2545
0.7456 0.5000 0.7455
0.7544 0.0000 0.2545
0.0000 0.5000 0.5000
0.5000 0.0000 0.5000